VASP calculation (PBE-GGA) on crystalline CrAsSe2Cl at its relaxed geometry.

* D(E_F): 8.5 states/eV/cell
* volume: 23.1 Å³/atom

Unit cell a=4.9693 b=4.9693 c=4.6835 alpha=90.00 beta=90.00 gamma=90.00
Space group P4/mmm (No. 123)
Unique sites:
Cr 0.0000 0.0000 0.0000 [1 per cell]
As 0.5000 0.5000 0.0000 [1 per cell]
Se 0.0000 0.5000 0.5000 [2 per cell]
Cl 0.5000 0.5000 0.5000 [1 per cell]

---

VASP calculation (PBE-GGA) on crystalline CrAs2SeCl at its relaxed geometry.

* D(E_F): 3.7 states/eV/cell
* volume: 20.5 Å³/atom

Unit cell a=4.7338 b=4.7338 c=4.5772 alpha=90.00 beta=90.00 gamma=90.00
Space group P4/mmm (No. 123)
Unique sites:
Cr 0.0000 0.0000 0.0000 [1 per cell]
As 0.0000 0.5000 0.0000 [2 per cell]
Se 0.0000 0.0000 0.5000 [1 per cell]
Cl 0.5000 0.5000 0.5000 [1 per cell]

---

VASP calculation (PBE-GGA) on crystalline Cr2SnAsCl at its relaxed geometry.

* D(E_F): 4.6 states/eV/cell
* volume: 27.6 Å³/atom

Unit cell a=4.8855 b=4.8855 c=5.7757 alpha=90.00 beta=90.00 gamma=90.00
Space group P4/mmm (No. 123)
Unique sites:
Cr 0.0000 0.5000 0.0000 [2 per cell]
Sn 0.0000 0.0000 0.5000 [1 per cell]
As 0.0000 0.0000 0.0000 [1 per cell]
Cl 0.5000 0.5000 0.5000 [1 per cell]

---

ΔE_f (raw) in eV per atom, matching the order above: 1.524 0.195 0.475